# Cs2InCuCl6 GGA-PBE optimized geometry
data_Cs2InCuCl6
_symmetry_space_group_name_H-M 'P 1'
_symmetry_Int_Tables_number 1
_cell_length_a 7.3198
_cell_length_b 7.3198
_cell_length_c 7.3198
_cell_angle_alpha 60.00
_cell_angle_beta 60.00
_cell_angle_gamma 60.00
loop_
_symmetry_equiv_pos_as_xyz
'x,y,z'
loop_
_atom_site_label
_atom_site_fract_x
_atom_site_fract_y
_atom_site_fract_z
Cs1 0.2500 0.2500 0.2500
Cs2 0.7500 0.7500 0.7500
In1 0.0000 0.0000 0.0000
Cu1 0.5000 0.5000 0.5000
Cl1 0.2517 0.2517 0.7483
Cl2 0.2517 0.7483 0.2517
Cl3 0.2517 0.7483 0.7483
Cl4 0.7483 0.2517 0.2517
Cl5 0.7483 0.2517 0.7483
Cl6 0.7483 0.7483 0.2517
# * size of the total moment: 0.000 μB/atom
# * formation energy (no corrections): -1.3361 eV/atom
# * calculated volume: 277.3 Å³ per cell



# CsInCuCl6 GGA-PBE optimized geometry
data_CsInCuCl6
_symmetry_space_group_name_H-M 'P 1'
_symmetry_Int_Tables_number 1
_cell_length_a 6.4554
_cell_length_b 6.4607
_cell_length_c 7.7756
_cell_angle_alpha 93.54
_cell_angle_beta 93.67
_cell_angle_gamma 113.44
loop_
_symmetry_equiv_pos_as_xyz
'x,y,z'
loop_
_atom_site_label
_atom_site_fract_x
_atom_site_fract_y
_atom_site_fract_z
Cs1 0.0000 0.0000 0.0000
In1 0.6389 0.3596 0.4997
Cu1 0.2914 0.7051 0.5010
Cl1 0.3328 0.0406 0.6531
Cl2 0.3345 0.4413 0.3113
Cl3 0.5579 0.6629 0.6894
Cl4 0.5983 0.0587 0.2742
Cl5 0.9424 0.4013 0.7245
Cl6 0.9579 0.6678 0.3476
# * size of the total moment: 0.111 μB/atom
# * formation energy (no corrections): -1.1174 eV/atom
# * calculated volume: 295.6 Å³ per cell



# CsCuIrCl6 GGA-PBE optimized geometry
data_CsCuIrCl6
_symmetry_space_group_name_H-M 'P 1'
_symmetry_Int_Tables_number 1
_cell_length_a 6.3522
_cell_length_b 6.3522
_cell_length_c 7.8570
_cell_angle_alpha 90.00
_cell_angle_beta 90.00
_cell_angle_gamma 120.00
loop_
_symmetry_equiv_pos_as_xyz
'x,y,z'
loop_
_atom_site_label
_atom_site_fract_x
_atom_site_fract_y
_atom_site_fract_z
Cs1 0.0000 0.0000 0.0000
Cu1 0.3333 0.6667 0.5000
Ir1 0.6667 0.3333 0.5000
Cl1 0.3721 0.0162 0.6688
Cl2 0.3721 0.3559 0.3312
Cl3 0.6441 0.0162 0.3312
Cl4 0.6441 0.6279 0.6688
Cl5 0.9838 0.3559 0.6688
Cl6 0.9838 0.6279 0.3312
# * size of the total moment: 0.122 μB/atom
# * formation energy (no corrections): -0.8283 eV/atom
# * calculated volume: 274.6 Å³ per cell



# Cs2CuIrCl6 GGA-PBE optimized geometry
data_Cs2CuIrCl6
_symmetry_space_group_name_H-M 'P 1'
_symmetry_Int_Tables_number 1
_cell_length_a 7.5758
_cell_length_b 8.6731
_cell_length_c 8.4614
_cell_angle_alpha 90.00
_cell_angle_beta 90.00
_cell_angle_gamma 90.00
loop_
_symmetry_equiv_pos_as_xyz
'x,y,z'
loop_
_atom_site_label
_atom_site_fract_x
_atom_site_fract_y
_atom_site_fract_z
Cs1 0.2500 0.0142 0.2268
Cs2 0.2500 0.4858 0.2268
Cs3 0.7500 0.5142 0.7732
Cs4 0.7500 0.9858 0.7732
Cu1 0.2500 0.7500 0.6035
Cu2 0.7500 0.2500 0.3965
Ir1 0.2500 0.2500 0.7359
Ir2 0.7500 0.7500 0.2641
Cl1 0.0283 0.2500 0.5288
Cl2 0.0331 0.2500 0.9365
Cl3 0.2500 0.5284 0.7542
Cl4 0.2500 0.9716 0.7542
Cl5 0.4669 0.2500 0.9365
Cl6 0.4717 0.2500 0.5288
Cl7 0.5283 0.7500 0.4712
Cl8 0.5331 0.7500 0.0635
Cl9 0.7500 0.0284 0.2458
Cl10 0.7500 0.4716 0.2458
Cl11 0.9669 0.7500 0.0635
Cl12 0.9717 0.7500 0.4712
# * size of the total moment: 0.000 μB/atom
# * formation energy (no corrections): -1.0705 eV/atom
# * calculated volume: 556.0 Å³ per cell



# Cs2KCu2Cl7 GGA-PBE optimized geometry
data_Cs2KCu2Cl7
_symmetry_space_group_name_H-M 'P 1'
_symmetry_Int_Tables_number 1
_cell_length_a 5.0130
_cell_length_b 5.0130
_cell_length_c 13.5564
_cell_angle_alpha 100.60
_cell_angle_beta 100.60
_cell_angle_gamma 90.00
loop_
_symmetry_equiv_pos_as_xyz
'x,y,z'
loop_
_atom_site_label
_atom_site_fract_x
_atom_site_fract_y
_atom_site_fract_z
Cs1 0.1787 0.1787 0.3593
Cs2 0.8213 0.8213 0.6407
K1 0.0000 0.0000 0.0000
Cu1 0.4107 0.4107 0.8193
Cu2 0.5893 0.5893 0.1807
Cl1 0.0855 0.5854 0.1726
Cl2 0.3197 0.3197 0.6372
Cl3 0.4146 0.9145 0.8274
Cl4 0.5000 0.5000 0.0000
Cl5 0.5854 0.0855 0.1726
Cl6 0.6803 0.6803 0.3628
Cl7 0.9145 0.4146 0.8274
# * size of the total moment: 0.000 μB/atom
# * formation energy (no corrections): -1.2421 eV/atom
# * calculated volume: 328.9 Å³ per cell



# CsK2Cu2Cl7 GGA-PBE optimized geometry
data_CsK2Cu2Cl7
_symmetry_space_group_name_H-M 'P 1'
_symmetry_Int_Tables_number 1
_cell_length_a 13.1005
_cell_length_b 13.1005
_cell_length_c 13.1005
_cell_angle_alpha 158.19
_cell_angle_beta 158.19
_cell_angle_gamma 31.03
loop_
_symmetry_equiv_pos_as_xyz
'x,y,z'
loop_
_atom_site_label
_atom_site_fract_x
_atom_site_fract_y
_atom_site_fract_z
Cs1 0.0000 0.0000 0.0000
K1 0.1817 0.1817 0.0000
K2 0.8183 0.8183 0.0000
Cu1 0.4016 0.4016 0.0000
Cu2 0.5984 0.5984 0.0000
Cl1 0.0983 0.5983 0.5000
Cl2 0.3070 0.3070 0.0000
Cl3 0.4017 0.9017 0.5000
Cl4 0.5000 0.5000 0.0000
Cl5 0.5983 0.0983 0.5000
Cl6 0.6930 0.6930 0.0000
Cl7 0.9017 0.4017 0.5000
# * size of the total moment: 0.000 μB/atom
# * formation energy (no corrections): -1.2275 eV/atom
# * calculated volume: 310.1 Å³ per cell



# CsKCu2Cl8 GGA-PBE optimized geometry
data_CsKCu2Cl8
_symmetry_space_group_name_H-M 'P 1'
_symmetry_Int_Tables_number 1
_cell_length_a 11.0672
_cell_length_b 11.0672
_cell_length_c 11.0672
_cell_angle_alpha 33.66
_cell_angle_beta 33.66
_cell_angle_gamma 33.66
loop_
_symmetry_equiv_pos_as_xyz
'x,y,z'
loop_
_atom_site_label
_atom_site_fract_x
_atom_site_fract_y
_atom_site_fract_z
Cs1 0.0000 0.0000 0.0000
K1 0.5000 0.5000 0.5000
Cu1 0.2618 0.2618 0.2618
Cu2 0.7382 0.7382 0.7382
Cl1 0.0283 0.0803 0.5735
Cl2 0.0803 0.5735 0.0283
Cl3 0.3318 0.3318 0.3318
Cl4 0.4265 0.9717 0.9197
Cl5 0.5735 0.0282 0.0803
Cl6 0.6682 0.6682 0.6682
Cl7 0.9197 0.4265 0.9718
Cl8 0.9718 0.9197 0.4265
# * size of the total moment: 0.057 μB/atom
# * formation energy (no corrections): -0.8165 eV/atom
# * calculated volume: 371.1 Å³ per cell



# CsKCu2Cl5 GGA-PBE optimized geometry
data_CsKCu2Cl5
_symmetry_space_group_name_H-M 'P 1'
_symmetry_Int_Tables_number 1
_cell_length_a 4.7997
_cell_length_b 4.7997
_cell_length_c 10.0597
_cell_angle_alpha 90.00
_cell_angle_beta 90.00
_cell_angle_gamma 90.00
loop_
_symmetry_equiv_pos_as_xyz
'x,y,z'
loop_
_atom_site_label
_atom_site_fract_x
_atom_site_fract_y
_atom_site_fract_z
Cs1 0.0000 0.0000 0.0000
K1 0.0000 0.0000 0.5000
Cu1 0.5000 0.5000 0.2486
Cu2 0.5000 0.5000 0.7514
Cl1 0.0000 0.5000 0.2878
Cl2 0.0000 0.5000 0.7122
Cl3 0.5000 0.0000 0.2878
Cl4 0.5000 0.0000 0.7122
Cl5 0.5000 0.5000 0.0000
# * size of the total moment: 0.000 μB/atom
# * formation energy (no corrections): -1.1589 eV/atom
# * calculated volume: 231.7 Å³ per cell



# Cs4KCu3Cl12 GGA-PBE optimized geometry
data_Cs4KCu3Cl12
_symmetry_space_group_name_H-M 'P 1'
_symmetry_Int_Tables_number 1
_cell_length_a 9.0125
_cell_length_b 9.0125
_cell_length_c 9.0125
_cell_angle_alpha 109.47
_cell_angle_beta 109.47
_cell_angle_gamma 109.47
loop_
_symmetry_equiv_pos_as_xyz
'x,y,z'
loop_
_atom_site_label
_atom_site_fract_x
_atom_site_fract_y
_atom_site_fract_z
Cs1 0.0000 0.0000 0.5000
Cs2 0.0000 0.5000 0.0000
Cs3 0.5000 0.0000 0.0000
Cs4 0.5000 0.5000 0.5000
K1 0.0000 0.0000 0.0000
Cu1 0.0000 0.5000 0.5000
Cu2 0.5000 0.0000 0.5000
Cu3 0.5000 0.5000 0.0000
Cl1 0.0000 0.2865 0.2865
Cl2 0.0000 0.7135 0.7135
Cl3 0.2500 0.5000 0.7500
Cl4 0.2500 0.7500 0.5000
Cl5 0.2865 0.0000 0.2865
Cl6 0.2865 0.2865 0.0000
Cl7 0.5000 0.2500 0.7500
Cl8 0.5000 0.7500 0.2500
Cl9 0.7135 0.0000 0.7135
Cl10 0.7135 0.7135 0.0000
Cl11 0.7500 0.2500 0.5000
Cl12 0.7500 0.5000 0.2500
# * size of the total moment: 0.000 μB/atom
# * formation energy (no corrections): -1.2203 eV/atom
# * calculated volume: 563.5 Å³ per cell



# CsK3Cu4Cl12 GGA-PBE optimized geometry
data_CsK3Cu4Cl12
_symmetry_space_group_name_H-M 'P 1'
_symmetry_Int_Tables_number 1
_cell_length_a 9.3899
_cell_length_b 9.3899
_cell_length_c 9.3899
_cell_angle_alpha 101.01
_cell_angle_beta 101.01
_cell_angle_gamma 101.01
loop_
_symmetry_equiv_pos_as_xyz
'x,y,z'
loop_
_atom_site_label
_atom_site_fract_x
_atom_site_fract_y
_atom_site_fract_z
Cs1 0.0000 0.0000 0.0000
K1 0.0000 0.5489 0.4511
K2 0.4511 0.0000 0.5489
K3 0.5489 0.4511 0.0000
Cu1 0.0552 0.5000 0.9448
Cu2 0.5000 0.5000 0.5000
Cu3 0.5000 0.9448 0.0552
Cu4 0.9448 0.0552 0.5000
Cl1 0.0032 0.6412 0.7969
Cl2 0.0960 0.9040 0.5000
Cl3 0.2031 0.3588 0.9968
Cl4 0.3509 0.6491 0.5000
Cl5 0.3588 0.9968 0.2031
Cl6 0.5000 0.0960 0.9040
Cl7 0.5000 0.3509 0.6491
Cl8 0.6412 0.7969 0.0032
Cl9 0.6491 0.5000 0.3509
Cl10 0.7969 0.0032 0.6412
Cl11 0.9040 0.5000 0.0960
Cl12 0.9968 0.2031 0.3588
# * size of the total moment: 0.212 μB/atom
# * formation energy (no corrections): -1.0417 eV/atom
# * calculated volume: 775.2 Å³ per cell